[1]
The following is a GGA-PBE calculation of a geometry-optimized TiCuReW structure, from Alexandria.

Cell: 4.389 4.389 4.389 Å, 60.00 60.00 60.00°
Fractional positions:
Ti 0.000 0.000 0.000
Cu 0.250 0.250 0.250
Re 0.750 0.750 0.750
W 0.500 0.500 0.500

---

[2]
The following is a GGA-PBE calculation of a geometry-optimized ZrTiCuRe structure, from Alexandria.

Cell: 4.536 4.536 4.536 Å, 60.00 60.00 60.00°
Fractional positions:
Zr 0.000 0.000 0.000
Ti 0.500 0.500 0.500
Cu 0.750 0.750 0.750
Re 0.250 0.250 0.250

---

[3]
The following is a GGA-PBE calculation of a geometry-optimized Tl2CuRe structure, from Alexandria.

Summary:
polymorph energy (0 for the lowest one)	82.9	meV per atom

Cell: 4.255 5.531 5.531 Å, 37.65 90.00 90.00°
Fractional positions:
Tl 0.000 0.000 0.000
Tl 0.500 0.296 0.296
Cu 0.500 0.587 0.587
Re 0.000 0.725 0.725

---

[4]
The following is a GGA-PBE calculation of a geometry-optimized Tl2CuRe structure, from Alexandria.

Summary:
polymorph energy (0 for the lowest one)	266.6	meV per atom

Cell: 2.986 2.986 8.594 Å, 90.00 90.00 90.00°
Fractional positions:
Tl 0.000 0.000 0.245
Tl 0.000 0.000 0.755
Cu 0.500 0.500 0.000
Re 0.500 0.500 0.500

---

[5]
The following is a GGA-PBE calculation of a geometry-optimized TlCu2Re structure, from Alexandria.

Summary:
polymorph energy (0 for the lowest one)	244.1	meV per atom

Cell: 4.987 4.987 4.987 Å, 134.50 134.50 66.31°
Fractional positions:
Tl 0.000 0.000 0.000
Cu 0.250 0.750 0.500
Cu 0.500 0.500 0.000
Re 0.750 0.250 0.500

---

[6]
The following is a GGA-PBE calculation of a geometry-optimized TlCu2Re structure, from Alexandria.

Summary:
polymorph energy (0 for the lowest one)	0.0	meV per atom

Cell: 2.777 2.777 8.608 Å, 90.00 90.00 90.15°
Fractional positions:
Tl 0.000 0.000 0.000
Cu 0.500 0.500 0.290
Cu 0.500 0.500 0.710
Re 0.000 0.000 0.500

---

Number 1: energy relative to the elements -0.03 eV/atom. Number 2: energy relative to the elements -0.19 eV/atom. Number 3: energy relative to the elements 0.78 eV/atom. Number 4: energy relative to the elements 0.97 eV/atom. Number 5: energy relative to the elements 0.78 eV/atom. Number 6: energy relative to the elements 0.54 eV/atom.